Record 1
Below is a geometry-optimized TcNiBi3 structure, with properties calculated at the PBE level.

Results
E_form in eV per formula unit: 4.53
Polymorph energy (0 for the lowest one) in eV/atom: 0.000
ρ in g cm⁻³: 9.79

CIF file:
```
data_TcNiBi3
_chemical_formula_sum 'Tc1 Ni1 Bi3'
_cell_length_a 5.103
_cell_length_b 5.103
_cell_length_c 5.103
_cell_angle_alpha 90.00
_cell_angle_beta 90.00
_cell_angle_gamma 90.00
_symmetry_space_group_name_H-M 'P m -3 m'
_symmetry_Int_Tables_number 221
_symmetry_space_group_name_Hall '-P 4 2 3'
loop_
_atom_site_label
_atom_site_type_symbol
_atom_site_fract_x
_atom_site_fract_y
_atom_site_fract_z
Tc1 Tc 0.000 0.000 0.000
Ni1 Ni 0.500 0.500 0.500
Bi1 Bi 0.000 0.500 0.500
```

---

Record 2
Below is a geometry-optimized CuNi2RhN structure, with properties calculated at the PBE level.

Results
ΔE_f (raw) in kcal/mol of atoms: 4.41
Polymorph energy (0 for the lowest one) in eV/atom: 0.116
ρ in g cm⁻³: 8.98

CIF file:
```
data_CuNi2RhN
_chemical_formula_sum 'Cu1 Ni2 Rh1 N1'
_cell_length_a 3.753
_cell_length_b 3.753
_cell_length_c 3.911
_cell_angle_alpha 90.00
_cell_angle_beta 90.00
_cell_angle_gamma 90.00
_symmetry_space_group_name_H-M 'P 4/m m m'
_symmetry_Int_Tables_number 123
_symmetry_space_group_name_Hall '-P 4 2'
loop_
_atom_site_label
_atom_site_type_symbol
_atom_site_fract_x
_atom_site_fract_y
_atom_site_fract_z
Cu1 Cu 0.000 0.000 0.000
Ni1 Ni 0.000 0.500 0.500
Rh1 Rh 0.500 0.500 0.000
N1 N 0.000 0.000 0.500
```

---

Record 3
Below is a geometry-optimized ZrScB structure, with properties calculated at the PBE level.

Results
E_form in eV per formula unit: -0.47
Polymorph energy (0 for the lowest one) in eV/atom: 0.225
ρ in g cm⁻³: 4.39

CIF file:
```
data_ZrScB
_chemical_formula_sum 'Zr18 Sc18 B18'
_cell_length_a 10.7305
_cell_length_b 10.7305
_cell_length_c 10.0331
_cell_angle_alpha 90.00
_cell_angle_beta 90.00
_cell_angle_gamma 120.00
_symmetry_space_group_name_H-M 'R -3'
_symmetry_Int_Tables_number 148
_symmetry_space_group_name_Hall '-R 3'
loop_
_atom_site_label
_atom_site_type_symbol
_atom_site_fract_x
_atom_site_fract_y
_atom_site_fract_z
Zr1 Zr 0.0247 0.8238 0.3856
Sc1 Sc 0.0313 0.8263 0.8805
B1 B 0.0393 0.7803 0.6530
```

---

Record 4
Below is a geometry-optimized Sb2RhAu structure, with properties calculated at the PBE level.

Results
ΔE_f (raw) in kcal/mol of atoms: 2.24
ρ in g cm⁻³: 11.11

CIF file:
```
data_Sb2RhAu
_chemical_formula_sum 'Sb4 Rh2 Au2'
_cell_length_a 4.150
_cell_length_b 4.150
_cell_length_c 9.433
_cell_angle_alpha 90.00
_cell_angle_beta 90.00
_cell_angle_gamma 90.00
_symmetry_space_group_name_H-M 'I -4 m 2'
_symmetry_Int_Tables_number 119
_symmetry_space_group_name_Hall 'I -4 -2'
loop_
_atom_site_label
_atom_site_type_symbol
_atom_site_fract_x
_atom_site_fract_y
_atom_site_fract_z
Sb1 Sb 0.000 0.000 0.000
Sb2 Sb 0.000 0.500 0.250
Rh1 Rh 0.000 0.000 0.500
Au1 Au 0.000 0.500 0.750
```

---

Record 5
Below is a geometry-optimized K2InSiAu6 structure, with properties calculated at the PBE level.

Results
ΔE_f (raw) in kcal/mol of atoms: -5.33
ρ in g cm⁻³: 9.24

CIF file:
```
data_K2InSiAu6
_chemical_formula_sum 'K4 In2 Si2 Au12'
_cell_length_a 6.766
_cell_length_b 9.720
_cell_length_c 7.669
_cell_angle_alpha 90.00
_cell_angle_beta 90.00
_cell_angle_gamma 90.00
_symmetry_space_group_name_H-M 'P m m n'
_symmetry_Int_Tables_number 59
loop_
_symmetry_equiv_pos_as_xyz
'x,y,z'
'-x,-y,-z'
'-x+1/2,-y+1/2,z'
'x+1/2,y+1/2,-z'
'x+1/2,-y,-z'
'-x+1/2,y,z'
'-x,y+1/2,-z'
'x,-y+1/2,z'
loop_
_atom_site_label
_atom_site_type_symbol
_atom_site_fract_x
_atom_site_fract_y
_atom_site_fract_z
K1 K 0.250 0.051 0.198
In1 In 0.250 0.750 0.792
Si1 Si 0.250 0.250 0.718
Au1 Au 0.041 0.750 0.096
Au2 Au 0.043 0.750 0.476
Au3 Au 0.250 0.006 0.632
```

---

Record 6
Below is a geometry-optimized CdHg2Au structure, with properties calculated at the PBE level.

Results
E_form in eV per formula unit: 0.10
Polymorph energy (0 for the lowest one) in eV/atom: 0.031
ρ in g cm⁻³: 13.36

CIF file:
```
data_CdHg2Au
_chemical_formula_sum 'Cd1 Hg2 Au1'
_cell_length_a 3.840
_cell_length_b 3.840
_cell_length_c 5.988
_cell_angle_alpha 90.00
_cell_angle_beta 90.00
_cell_angle_gamma 90.00
_symmetry_space_group_name_H-M 'P 4 m m'
_symmetry_Int_Tables_number 99
loop_
_symmetry_equiv_pos_as_xyz
'x,y,z'
'-y,x,z'
'-x,-y,z'
'y,-x,z'
'-x,y,z'
'y,x,z'
'x,-y,z'
'-y,-x,z'
loop_
_atom_site_label
_atom_site_type_symbol
_atom_site_fract_x
_atom_site_fract_y
_atom_site_fract_z
Cd1 Cd 0.000 0.000 0.000
Hg1 Hg 0.000 0.000 0.517
Hg2 Hg 0.500 0.500 0.269
Au1 Au 0.500 0.500 0.781
```

---

Record 7
Below is a geometry-optimized ZrSiRh2 structure, with properties calculated at the PBE level.

Results
ΔE_f (raw) in kcal/mol of atoms: -22.67
ρ in g cm⁻³: 8.61

CIF file:
```
data_ZrSiRh2
_chemical_formula_sum 'Zr8 Si8 Rh16'
_cell_length_a 13.603
_cell_length_b 6.990
_cell_length_c 5.276
_cell_angle_alpha 90.00
_cell_angle_beta 90.00
_cell_angle_gamma 90.00
_symmetry_space_group_name_H-M 'P n m a'
_symmetry_Int_Tables_number 62
loop_
_symmetry_equiv_pos_as_xyz
'x,y,z'
'-x,-y,-z'
'-x+1/2,-y,z+1/2'
'x+1/2,y,-z+1/2'
'x+1/2,-y+1/2,-z+1/2'
'-x+1/2,y+1/2,z+1/2'
'-x,y+1/2,-z'
'x,-y+1/2,z'
loop_
_atom_site_label
_atom_site_type_symbol
_atom_site_fract_x
_atom_site_fract_y
_atom_site_fract_z
Zr1 Zr 0.113 0.250 0.230
Zr2 Zr 0.136 0.750 0.007
Si1 Si 0.069 0.750 0.511
Si2 Si 0.180 0.250 0.738
Rh1 Rh 0.034 0.047 0.753
Rh2 Rh 0.215 0.550 0.512
```

---

Record 8
Below is a geometry-optimized La2TlInNi structure, with properties calculated at the PBE level.

Results
E_form in eV per formula unit: -1.82
Polymorph energy (0 for the lowest one) in eV/atom: 0.000
ρ in g cm⁻³: 7.52

CIF file:
```
data_La2TlInNi
_chemical_formula_sum 'La2 Tl1 In1 Ni1'
_cell_length_a 5.399
_cell_length_b 5.399
_cell_length_c 4.970
_cell_angle_alpha 90.00
_cell_angle_beta 90.00
_cell_angle_gamma 90.00
_symmetry_space_group_name_H-M 'P 4/m m m'
_symmetry_Int_Tables_number 123
_symmetry_space_group_name_Hall '-P 4 2'
loop_
_atom_site_label
_atom_site_type_symbol
_atom_site_fract_x
_atom_site_fract_y
_atom_site_fract_z
La1 La 0.000 0.500 0.000
Tl1 Tl 0.000 0.000 0.500
In1 In 0.500 0.500 0.500
Ni1 Ni 0.500 0.500 0.000
```